DFT (meta-GGA SCAN) results for CuSi2Au at its PBEsol-relaxed geometry.

## Properties
* formation energy from raw total energies: 1.47 eV per formula unit
* ΔE to the lowest computed polymorph: 0.406 eV/atom

Unit cell a=6.958 b=6.958 c=5.132 alpha=90.00 beta=90.00 gamma=90.00
Space group I-42d (No. 122)
Inequivalent atoms, fractional coordinates:
1 Cu 0.000 0.000 0.000 [4 per cell]
2 Si 0.238 0.750 0.125 [8 per cell]
3 Au 0.000 0.000 0.500 [4 per cell]

DFT (meta-GGA SCAN) results for CuSiAu2 at its PBEsol-relaxed geometry.

## Properties
* formation energy from raw total energies: 0.24 eV per formula unit

Unit cell a=3.833 b=3.833 c=8.101 alpha=90.00 beta=90.00 gamma=90.00
Space group I-4m2 (No. 119)
Inequivalent atoms, fractional coordinates:
1 Cu 0.000 0.000 0.000 [2 per cell]
2 Si 0.000 0.500 0.250 [2 per cell]
3 Au 0.000 0.000 0.500 [2 per cell]
4 Au 0.000 0.500 0.750 [2 per cell]

DFT (meta-GGA SCAN) results for CuSi2Au at its PBEsol-relaxed geometry.

## Properties
* formation energy from raw total energies: -0.16 eV per formula unit
* ΔE to the lowest computed polymorph: 0.000 eV/atom

Unit cell a=3.875 b=4.105 c=4.334 alpha=90.00 beta=103.77 gamma=90.00
Space group P2/m (No. 10)
Inequivalent atoms, fractional coordinates:
1 Cu 0.000 0.000 0.000 [1 per cell]
2 Si 0.309 0.500 0.172 [2 per cell]
3 Au 0.500 0.000 0.500 [1 per cell]

DFT (meta-GGA SCAN) results for Cu2SiTcAu at its PBEsol-relaxed geometry.

## Properties
* formation energy from raw total energies: 6.09 eV per formula unit

Unit cell a=4.563 b=4.563 c=4.437 alpha=90.00 beta=90.00 gamma=90.00
Space group P4/mmm (No. 123)
Inequivalent atoms, fractional coordinates:
1 Cu 0.000 0.500 0.000 [2 per cell]
2 Si 0.000 0.000 0.500 [1 per cell]
3 Tc 0.000 0.000 0.000 [1 per cell]
4 Au 0.500 0.500 0.500 [1 per cell]

DFT (meta-GGA SCAN) results for CuSnAu at its PBEsol-relaxed geometry.

## Properties
* formation enthalpy at 0 K: -0.31 eV per formula unit

Unit cell a=4.070 b=4.070 c=12.820 alpha=90.00 beta=90.00 gamma=90.00
Space group I4/mmm (No. 139)
Inequivalent atoms, fractional coordinates:
1 Cu 0.000 0.500 0.000 [4 per cell]
2 Sn 0.000 0.000 0.156 [4 per cell]
3 Au 0.000 0.000 0.370 [4 per cell]

DFT (meta-GGA SCAN) results for Sr2CuAu at its PBEsol-relaxed geometry.

## Properties
* formation enthalpy at 0 K: -0.97 eV per formula unit

Unit cell a=3.642 b=3.642 c=8.417 alpha=90.00 beta=90.00 gamma=90.00
Space group P4mm (No. 99)
Inequivalent atoms, fractional coordinates:
1 Sr 0.000 0.000 0.000 [1 per cell]
2 Sr 0.500 0.500 0.421 [1 per cell]
3 Cu 0.500 0.500 0.769 [1 per cell]
4 Au 0.000 0.000 0.644 [1 per cell]

DFT (meta-GGA SCAN) results for SrCuAu2 at its PBEsol-relaxed geometry.

## Properties
* formation enthalpy at 0 K: -2.33 eV per formula unit
* ΔE to the lowest computed polymorph: 0.000 eV/atom

Unit cell a=4.4245 b=4.4245 c=15.6014 alpha=90.00 beta=90.00 gamma=120.00
Space group R-3m (No. 166, hexagonal axes)
Inequivalent atoms, fractional coordinates:
1 Sr 0.0000 0.0000 0.0000 [3 per cell]
2 Cu 0.0000 0.0000 0.5000 [3 per cell]
3 Au 0.0000 0.0000 0.2045 [6 per cell]

DFT (meta-GGA SCAN) results for SrCuAu4 at its PBEsol-relaxed geometry.

## Properties
* formation enthalpy at 0 K: -2.04 eV per formula unit

Unit cell a=7.767 b=7.767 c=7.767 alpha=90.00 beta=90.00 gamma=90.00
Space group F-43m (No. 216)
Inequivalent atoms, fractional coordinates:
1 Sr 0.000 0.000 0.000 [4 per cell]
2 Cu 0.250 0.250 0.250 [4 per cell]
3 Au 0.124 0.124 0.624 [16 per cell]

DFT (meta-GGA SCAN) results for SrCuAu2 at its PBEsol-relaxed geometry.

## Properties
* formation enthalpy at 0 K: -1.60 eV per formula unit
* ΔE to the lowest computed polymorph: 0.181 eV/atom

Unit cell a=3.406 b=3.406 c=6.813 alpha=90.00 beta=90.00 gamma=90.00
Space group P4/mmm (No. 123)
Inequivalent atoms, fractional coordinates:
1 Sr 0.000 0.000 0.000 [1 per cell]
2 Cu 0.000 0.000 0.500 [1 per cell]
3 Au 0.500 0.500 0.302 [2 per cell]

DFT (meta-GGA SCAN) results for Sr2CuAu at its PBEsol-relaxed geometry.

## Properties
* formation enthalpy at 0 K: -2.07 eV per formula unit

Unit cell a=4.463 b=4.357 c=11.397 alpha=90.00 beta=90.00 gamma=90.00
Space group Amm2 (No. 38)
Inequivalent atoms, fractional coordinates:
1 Sr 0.000 0.000 0.000 [2 per cell]
2 Sr 0.500 0.000 0.282 [2 per cell]
3 Cu 0.000 0.000 0.702 [2 per cell]
4 Au 0.500 0.000 0.577 [2 per cell]

DFT (meta-GGA SCAN) results for Sr2ZrCuAu at its PBEsol-relaxed geometry.

## Properties
* formation enthalpy at 0 K: 1.61 eV per formula unit

Unit cell a=5.867 b=5.867 c=5.135 alpha=90.00 beta=90.00 gamma=90.00
Space group P4/mmm (No. 123)
Inequivalent atoms, fractional coordinates:
1 Sr 0.000 0.500 0.000 [2 per cell]
2 Zr 0.000 0.000 0.500 [1 per cell]
3 Cu 0.500 0.500 0.500 [1 per cell]
4 Au 0.000 0.000 0.000 [1 per cell]

DFT (meta-GGA SCAN) results for TaCuAu2 at its PBEsol-relaxed geometry.

## Properties
* formation enthalpy at 0 K: -0.21 eV per formula unit

Unit cell a=2.730 b=4.607 c=5.028 alpha=90.00 beta=90.06 gamma=90.00
Space group Pm (No. 6)
Inequivalent atoms, fractional coordinates:
1 Ta 0.000 0.000 0.000 [1 per cell]
2 Cu 0.005 0.500 0.677 [1 per cell]
3 Au 0.500 0.500 0.170 [1 per cell]
4 Au 0.501 0.000 0.514 [1 per cell]

The calculation returns the following density values, one per record and in order: 8.467; 13.548; 7.853; 8.091; 11.859; 6.480; 10.266; 13.313; 11.452; 6.530; 4.950; 16.763 Mg/m³.